1.
# Sc5In2PdPt2

A geometry-optimized Sc5In2PdPt2 structure (GGA-PBE, Alexandria via LeMat-Bulk).

```
Sc5In2PdPt2
1.0
11.231 0.000 0.000
0.000 11.231 0.000
0.000 0.000 3.345
Sc In Pd Pt
10 4 2 4
Direct
0.000 0.500 0.000
0.068 0.193 0.000
0.193 0.932 0.000
0.307 0.432 0.000
0.432 0.693 0.000
0.500 0.000 0.000
0.568 0.307 0.000
0.693 0.568 0.000
0.807 0.068 0.000
0.932 0.807 0.000
0.173 0.673 0.500
0.327 0.173 0.500
0.673 0.827 0.500
0.827 0.327 0.500
0.000 0.000 0.500
0.500 0.500 0.500
0.133 0.367 0.500
0.367 0.867 0.500
0.633 0.133 0.500
0.867 0.633 0.500
```

DFT total energy = -6.248 eV/atom
formation energy = -807.3 meV/atom
V = 21.1 A^3/atom

2.
# ScIn2PdPt

A geometry-optimized ScIn2PdPt structure (GGA-PBE, Alexandria via LeMat-Bulk).

```
ScIn2PdPt
1.0
4.988 0.000 0.000
0.000 4.988 0.000
0.000 0.000 4.907
Sc In Pd Pt
1 2 1 1
Direct
0.000 0.000 0.000
0.000 0.500 0.500
0.500 0.000 0.500
0.000 0.000 0.500
0.500 0.500 0.000
```

DFT total energy = -4.586 eV/atom
formation energy = 22.5 meV/atom
V = 24.4 A^3/atom